The following is a PBE calculation of an optimized crystal structure of NbTlPdSe3, from Alexandria.

```
NbTlPdSe3
1.0
-0.465 -0.344 -3.660
5.321 -6.261 -0.087
-9.599 -3.011 1.503
Nb Tl Pd Se
2 2 2 6
direct
0.250 0.711 0.173 Nb
0.750 0.289 0.827 Nb
0.250 0.273 0.297 Tl
0.750 0.727 0.703 Tl
0.250 0.069 0.620 Pd
0.750 0.931 0.380 Pd
0.750 0.908 0.126 Se
0.250 0.092 0.874 Se
0.250 0.737 0.430 Se
0.750 0.263 0.570 Se
0.750 0.452 0.120 Se
0.250 0.548 0.880 Se
```

Summary:
Total DFT energy (no corrections) = -63.5 eV/cell
N(E_F) = 2.0 states/eV/cell
Uncorrected formation energy = -0.612 eV per atom
Mass density = 7.45 Mg/m³

=====

The following is a PBE calculation of an optimized crystal structure of NbSiPd, from Alexandria.

```
NbSiPd
1.0
3.781 0.000 0.000
0.000 6.493 0.000
0.000 0.000 7.501
Nb Si Pd
4 4 4
direct
0.750 0.527 0.836 Nb
0.250 0.973 0.336 Nb
0.750 0.027 0.664 Nb
0.250 0.473 0.164 Nb
0.250 0.231 0.870 Si
0.250 0.731 0.630 Si
0.750 0.769 0.130 Si
0.750 0.269 0.370 Si
0.250 0.851 0.937 Pd
0.250 0.351 0.563 Pd
0.750 0.649 0.437 Pd
0.750 0.149 0.063 Pd
```

Summary:
Total DFT energy (no corrections) = -91.1 eV/cell
N(E_F) = 7.1 states/eV/cell
Uncorrected formation energy = -0.694 eV per atom
Mass density = 8.20 Mg/m³

=====

The following is a PBE calculation of an optimized crystal structure of NbSi3Pd, from Alexandria.

```
NbSi3Pd
1.0
4.811 0.000 0.000
0.000 4.811 0.000
0.000 0.000 4.811
Nb Si Pd
1 3 1
direct
0.000 0.000 0.000 Nb
0.000 0.500 0.000 Si
0.000 0.000 0.500 Si
0.500 0.000 0.000 Si
0.500 0.500 0.500 Pd
```

Summary:
Total DFT energy (no corrections) = -27.3 eV/cell
N(E_F) = 5.6 states/eV/cell
Uncorrected formation energy = 0.838 eV per atom
Mass density = 4.23 Mg/m³